The following is a PBE calculation of a geometry-optimized CaHf2ZnN4 structure, from Alexandria via LeMat-Bulk.

Computed properties:
Symmetry   Cmcm, No. 63
Uncorrected energy   -8.2958 eV per atom
Spin magnetization   0.00 Bohr magnetons per cell

Unit cell a=5.702 b=5.702 c=11.362 alpha=90.00 beta=90.00 gamma=146.61
Positions (direct):
Ca 0.101 0.899 0.750
Ca 0.899 0.101 0.250
Hf 0.367 0.633 0.550
Hf 0.367 0.633 0.950
Hf 0.633 0.367 0.050
Hf 0.633 0.367 0.450
Zn 0.162 0.838 0.250
Zn 0.838 0.162 0.750
N 0.000 0.000 0.000
N 0.000 0.000 0.500
N 0.261 0.739 0.104
N 0.261 0.739 0.396
N 0.442 0.558 0.750
N 0.558 0.442 0.250
N 0.739 0.261 0.604
N 0.739 0.261 0.896